Material: PaGa7Cu5
Method: DFT, PBE
State: relaxed

Properties
The calculation puts the calculated total energy at -53.55 eV/f.u. The calculation puts the spin magnetization at 0.002 μB/f.u.

Cell lengths 5.196, 6.729, 6.729 Å; angles 82.36, 67.29, 67.29 degrees
Sites, in units of the cell vectors:
Cu 0.004 0.998 0.498
Cu 0.004 0.498 0.998
Pa 0.998 0.002 0.002
Ga 0.344 0.656 0.656
Cu 0.499 0.498 0.998
Ga 0.274 0.226 0.226
Cu 0.728 0.772 0.772
Ga 0.993 0.353 0.662
Ga 0.993 0.662 0.353
Cu 0.499 0.998 0.498
Ga 0.508 0.191 0.793
Ga 0.508 0.793 0.191
Ga 0.648 0.352 0.352

***

Material: Dy2Ga5Tc
Method: DFT, PBE
State: relaxed

Properties
The calculation puts the calculated total energy at -37.66 eV/f.u. The calculation puts the spin magnetization at 0.000 μB/f.u.

Cell lengths 6.060, 6.060, 6.060 Å; angles 92.13, 118.78, 118.78 degrees
Sites, in units of the cell vectors:
Ga 0.576 0.286 0.286
Ga 0.000 0.286 0.710
Ga 0.000 0.710 0.286
Ga 0.424 0.710 0.710
Ga 0.000 0.260 0.260
Dy 0.500 0.251 0.751
Dy 0.500 0.751 0.251
Tc 0.000 0.968 0.968

***

Material: AcHf2PtO8
Method: DFT, PBE
State: relaxed

Properties
The calculation puts the calculated total energy at -99.24 eV/f.u. The calculation puts the spin magnetization at 0.000 μB/f.u. As for the uncorrected formation energy: -2460 meV/atom.

Cell lengths 4.998, 4.989, 6.702 Å; angles 90.00, 90.00, 88.26 degrees
Sites, in units of the cell vectors:
O 0.791 0.211 0.795
O 0.209 0.789 0.795
O 0.791 0.211 0.205
O 0.334 0.330 0.500
Pt 0.000 0.000 0.000
O 0.290 0.288 0.000
Ac 0.000 0.000 0.500
O 0.209 0.789 0.205
O 0.710 0.712 0.000
Hf 0.500 0.500 0.754
Hf 0.500 0.500 0.246
O 0.666 0.670 0.500

***

Material: TlSiPb2
Method: DFT, PBE
State: relaxed

Properties
The calculation puts the calculated total energy at -13.97 eV/f.u. The calculation puts the spin magnetization at 0.000 μB/f.u. As for the uncorrected formation energy: 308 meV/atom.

Cell lengths 3.649, 4.031, 7.641 Å; angles 90.00, 90.00, 90.00 degrees
Sites, in units of the cell vectors:
Pb 0.500 0.500 0.289
Tl 0.500 0.500 0.723
Pb 0.000 0.000 0.020
Si 0.000 0.000 0.467